(1)
Here is a relaxed structure of Cs2PtPbCl6 from Alexandria via LeMat-Bulk. Energies are from GGA-PBE.

As for the calculated density: 4.28 g cm⁻³. As for the total magnetization: 0.0 μB per formula unit. For the electronic total energy, the calculation gives -3.481 eV per atom. The value obtained for the formation energy (no corrections) is -1228 meV/atom.

It has space group I4/mmm (No. 139), with a = 7.3524 Å, b = 7.3524 Å, c = 12.6532 Å, α = 90.00°, β = 90.00° and γ = 90.00°. Symmetry generates all atoms from Cs at (0.0000, 0.5000, 0.2500), Pt at (0.0000, 0.0000, 0.0000), Pb at (0.0000, 0.0000, 0.5000), Cl at (0.0000, 0.0000, 0.2791) and Cl at (0.2238, 0.2238, 0.0000).

***

(2)
Here is a relaxed structure of Sm3Dy3Y8 from Alexandria via LeMat-Bulk. Energies are from GGA-PBE.

As for the calculated density: 5.93 g cm⁻³. As for the total magnetization: 0.0 μB per formula unit. The value obtained for the formation energy is 116 meV per atom. For the electronic total energy, the calculation gives -5.575 eV per atom.

It has space group Immm (No. 71), with a = 5.6743 Å, b = 10.8240 Å, c = 15.0462 Å, α = 90.00°, β = 90.00° and γ = 90.00°. Symmetry generates all atoms from Sm at (0.0000, 0.0000, 0.0000), Sm at (0.0000, 0.5000, 0.3189), Dy at (0.0000, 0.0000, 0.5000), Dy at (0.0000, 0.2970, 0.5000), Y at (0.0000, 0.1591, 0.2788) and Y at (0.0000, 0.3417, 0.1031).

***

(3)
Here is a relaxed structure of LaFeC3 from Alexandria via LeMat-Bulk. Energies are from GGA-PBE.

As for the calculated density: 6.54 g cm⁻³. The value obtained for the offset from the most stable computed form is 0.0 kJ/mol of atoms. As for the total magnetization: 0.0 μB per formula unit. The value obtained for the formation energy is 971 meV per atom. For the electronic total energy, the calculation gives -7.242 eV per atom.

It has space group Pm-3m (No. 221), with a = 3.8847 Å, b = 3.8847 Å, c = 3.8847 Å, α = 90.00°, β = 90.00° and γ = 90.00°. Symmetry generates all atoms from La at (0.0000, 0.0000, 0.0000), Fe at (0.5000, 0.5000, 0.5000) and C at (0.0000, 0.5000, 0.5000).

***

(4)
Here is a relaxed structure of Rb3SnTe3 from Alexandria via LeMat-Bulk. Energies are from GGA-PBE.

As for the calculated density: 3.70 g cm⁻³. The value obtained for the offset from the most stable computed form is 4.7 kJ/mol of atoms. As for the total magnetization: 0.0 μB per formula unit. For the electronic total energy, the calculation gives -3.108 eV per atom. The value obtained for the formation energy (no corrections) is -775 meV/atom.

It has space group C2/m (No. 12), with a = 10.0511 Å, b = 15.3152 Å, c = 9.0224 Å, α = 90.00°, β = 101.30° and γ = 90.00°. Symmetry generates all atoms from Rb at (0.0000, 0.1733, 0.0000), Rb at (0.0000, 0.2402, 0.5000), Rb at (0.1064, 0.5000, 0.8622), Sn at (0.1714, 0.0000, 0.6402), Te at (0.1024, 0.0000, 0.2929) and Te at (0.1936, 0.3494, 0.2185).

***

(5)
Here is a relaxed structure of Y6Hg5Pt from Alexandria via LeMat-Bulk. Energies are from GGA-PBE.

As for the calculated density: 9.56 g cm⁻³. As for the total magnetization: 0.0 μB per formula unit. The value obtained for the formation energy is -624 meV per atom. For the electronic total energy, the calculation gives -4.485 eV per atom.

It has space group Cmmm (No. 65), with a = 5.2058 Å, b = 15.6243 Å, c = 7.3940 Å, α = 90.00°, β = 90.00° and γ = 90.00°. Symmetry generates all atoms from Y at (0.0000, 0.0000, 0.2351), Y at (0.0000, 0.3405, 0.2440), Hg at (0.0000, 0.1691, 0.5000), Hg at (0.0000, 0.1748, 0.0000), Hg at (0.0000, 0.5000, 0.5000) and Pt at (0.0000, 0.5000, 0.0000).

***

(6)
Here is a relaxed structure of TaPbAu2 from Alexandria via LeMat-Bulk. Energies are from GGA-PBE.

As for the calculated density: 15.61 g cm⁻³. As for the total magnetization: 0.0 μB per formula unit. The value obtained for the formation energy is 244 meV per atom. For the electronic total energy, the calculation gives -5.285 eV per atom.

It has space group R3m (No. 160, hexagonal axes), with a = 3.0979 Å, b = 3.0979 Å, c = 30.0299 Å, α = 90.00°, β = 90.00° and γ = 120.00°. Symmetry generates all atoms from Ta at (0.0000, 0.0000, 0.0000), Pb at (0.0000, 0.0000, 0.2437), Au at (0.0000, 0.0000, 0.4832) and Au at (0.0000, 0.0000, 0.7391).

***

(7)
Here is a relaxed structure of CaTm3Cd4 from Alexandria via LeMat-Bulk. Energies are from GGA-PBE.

As for the calculated density: 8.03 g cm⁻³. As for the total magnetization: 0.0 μB per formula unit. The value obtained for the formation energy is -323 meV per atom. For the electronic total energy, the calculation gives -2.708 eV per atom.

It has space group P4/mmm (No. 123), with a = 5.2512 Å, b = 5.2512 Å, c = 7.4775 Å, α = 90.00°, β = 90.00° and γ = 90.00°. Symmetry generates all atoms from Ca at (0.0000, 0.0000, 0.0000), Tm at (0.0000, 0.0000, 0.5000), Tm at (0.5000, 0.5000, 0.0000), Tm at (0.5000, 0.5000, 0.5000) and Cd at (0.0000, 0.5000, 0.2558).

***

(8)
Here is a relaxed structure of Rb2BeGaAs2 from Alexandria via LeMat-Bulk. Energies are from GGA-PBE.

As for the calculated density: 4.10 g cm⁻³. As for the total magnetization: 0.0 μB per formula unit. The value obtained for the formation energy is -278 meV per atom. For the electronic total energy, the calculation gives -3.276 eV per atom.

It has space group Ibam (No. 72), with a = 6.4252 Å, b = 15.9425 Å, c = 6.3146 Å, α = 90.00°, β = 90.00° and γ = 90.00°. Symmetry generates all atoms from Rb at (0.2389, 0.1675, 0.0000), Be at (0.0000, 0.5000, 0.2500), Ga at (0.0000, 0.0000, 0.2500) and As at (0.2142, 0.4215, 0.0000).

***

(9)
Here is a relaxed structure of Tl2GaSnAu6 from Alexandria via LeMat-Bulk. Energies are from GGA-PBE.

As for the calculated density: 12.05 g cm⁻³. As for the total magnetization: 0.0 μB per formula unit. The value obtained for the formation energy is -55 meV per atom. For the electronic total energy, the calculation gives -3.197 eV per atom.

It has space group Pmmn (No. 59, origin choice 2), with a = 6.8852 Å, b = 8.5108 Å, c = 8.3681 Å, α = 90.00°, β = 90.00° and γ = 90.00°. Symmetry generates all atoms from Tl at (0.2500, 0.0265, 0.1916), Ga at (0.2500, 0.7500, 0.7533), Sn at (0.2500, 0.2500, 0.7779), Au at (0.0254, 0.2500, 0.4648), Au at (0.0444, 0.7500, 0.0121) and Au at (0.2500, 0.5056, 0.5695).

***

(10)
Here is a relaxed structure of FeAs2Pt from Alexandria via LeMat-Bulk. Energies are from GGA-PBE.

As for the calculated density: 10.73 g cm⁻³. The value obtained for the offset from the most stable computed form is 20.9 kJ/mol of atoms. As for the total magnetization: 2.1 μB per formula unit. The value obtained for the formation energy is 37 meV per atom. For the electronic total energy, the calculation gives -5.914 eV per atom.

It has space group C2/m (No. 12), with a = 7.8204 Å, b = 3.0525 Å, c = 5.3349 Å, α = 90.00°, β = 103.13° and γ = 90.00°. Symmetry generates all atoms from Fe at (0.0000, 0.0000, 0.0000), As at (0.2404, 0.5000, 0.2239) and Pt at (0.0000, 0.5000, 0.5000).

***

(11)
Here is a relaxed structure of Pr3Nd3CoHg2 from Alexandria via LeMat-Bulk. Energies are from GGA-PBE.

As for the calculated density: 8.35 g cm⁻³. As for the total magnetization: 0.0 μB per formula unit. The value obtained for the formation energy is -244 meV per atom. For the electronic total energy, the calculation gives -4.283 eV per atom.

It has space group P-62m (No. 189), with a = 8.9506 Å, b = 8.9506 Å, c = 3.7717 Å, α = 90.00°, β = 90.00° and γ = 120.00°. Symmetry generates all atoms from Pr at (0.0000, 0.4062, 0.0000), Nd at (0.0000, 0.7683, 0.5000), Co at (0.0000, 0.0000, 0.0000) and Hg at (0.3333, 0.6667, 0.5000).

***

(12)
Here is a relaxed structure of SrMgW2 from Alexandria via LeMat-Bulk. Energies are from GGA-PBE.

As for the calculated density: 8.91 g cm⁻³. As for the total magnetization: 0.0 μB per formula unit. The value obtained for the formation energy is 976 meV per atom. For the electronic total energy, the calculation gives -6.320 eV per atom.

It has space group Pmmm (No. 47), with a = 2.8362 Å, b = 4.6450 Å, c = 6.7825 Å, α = 90.00°, β = 90.00° and γ = 90.00°. Symmetry generates all atoms from Sr at (0.0000, 0.0000, 0.0000), Mg at (0.0000, 0.0000, 0.5000) and W at (0.5000, 0.5000, 0.3213).

***

Q: Which value of electronic total energy does entry 6 give?
A: -5.285 eV per atom